First-principles (PBE) data for a relaxed structure of LaYRh2, as listed in Alexandria via LeMat-Bulk.

Properties
- raw total energy (eV per atom) = -6.996
- volume (Å³/atom) = 22.7

Structure (CIF):
```
data_LaYRh2
_chemical_formula_sum 'La4 Y4 Rh8'
_space_group_name_H-M_alt 'I -4 2 d'
_space_group_IT_number 122
_space_group_name_Hall 'I -4 2bw'
_cell_length_a 7.462
_cell_length_b 7.462
_cell_length_c 6.519
_cell_angle_alpha 90.00
_cell_angle_beta 90.00
_cell_angle_gamma 90.00
loop_
_atom_site_label
_atom_site_fract_x
_atom_site_fract_y
_atom_site_fract_z
_atom_site_occupancy
La1 0.000 0.000 0.000 1
Y1 0.000 0.000 0.500 1
Rh1 0.245 0.250 0.125 1
```

=====

First-principles (PBE) data for a relaxed structure of La2YRh2, as listed in Alexandria via LeMat-Bulk.

Properties
- energy above the most stable polymorph in this dataset (eV per formula unit) = 0.000
- raw total energy (eV per atom) = -6.855
- volume (Å³/atom) = 25.3

Structure (CIF):
```
data_La2YRh2
_chemical_formula_sum 'La4 Y2 Rh4'
_space_group_name_H-M_alt 'P 4/m b m'
_space_group_IT_number 127
_space_group_name_Hall '-P 4 2ab'
_cell_length_a 7.826
_cell_length_b 7.826
_cell_length_c 4.134
_cell_angle_alpha 90.00
_cell_angle_beta 90.00
_cell_angle_gamma 90.00
loop_
_atom_site_label
_atom_site_fract_x
_atom_site_fract_y
_atom_site_fract_z
_atom_site_occupancy
La1 0.160 0.340 0.000 1
Y1 0.000 0.000 0.500 1
Rh1 0.146 0.646 0.500 1
```